LaCu6Ni6, optimized geometry, DFT PBE-GGA; space group = No. 71; DFT total energy = -5.039 eV/atom; calculated volume = 170 Å³/cell; density of states at the Fermi level = 9.0 states/eV per cell; energy relative to the elements = -1.31 eV per formula unit; magnetic moment = 0.000 Bohr magnetons per cell
1.0
-2.399 4.204 4.206
2.399 -4.204 4.206
2.399 4.204 -4.206
La Cu Ni
1 6 6
direct
0.000 0.000 0.000 La
0.227 0.727 0.500 Cu
0.353 0.000 0.353 Cu
0.356 0.356 0.000 Cu
0.644 0.644 0.000 Cu
0.647 0.000 0.647 Cu
0.773 0.273 0.500 Cu
0.000 0.000 0.500 Ni
0.000 0.500 0.000 Ni
0.229 0.500 0.729 Ni
0.500 0.000 0.000 Ni
0.500 0.500 0.500 Ni
0.771 0.500 0.271 Ni